[1]
Below is a geometry-optimized Mg2SiMo structure, with properties calculated at the GGA-PBE level.

- total DFT energy (no corrections) (eV for the cell shown) = -19.029
- space group = Pm, No. 6

The structure in CIF format:
```
data_Mg2SiMo
_cell_length_a 4.2228
_cell_length_b 2.8537
_cell_length_c 5.9107
_cell_angle_alpha 71.71
_cell_angle_beta 90.00
_cell_angle_gamma 90.00
_space_group_name_H-M_alt 'P 1'
_space_group_IT_number 1
_space_group_name_Hall 'P 1'
loop_
_atom_site_label
_atom_site_type_symbol
_atom_site_fract_x
_atom_site_fract_y
_atom_site_fract_z
Si1 Si 0.5000 0.8224 0.7130
Mg1 Mg 0.5000 0.2378 0.2529
Mg2 Mg 0.0000 0.8752 0.9984
Mo1 Mo 0.0000 0.5645 0.5357
```


[2]
Below is a geometry-optimized La2Tb4Ho5 structure, with properties calculated at the GGA-PBE level.

- E above lowest polymorph (eV per atom) = 0.038
- ΔH_f (0 K) (eV/atom) = 0.15
- space group = C2/m, No. 12

The structure in CIF format:
```
data_La2Tb4Ho5
_cell_length_a 3.4449
_cell_length_b 8.7889
_cell_length_c 12.1167
_cell_angle_alpha 96.67
_cell_angle_beta 98.17
_cell_angle_gamma 90.00
_space_group_name_H-M_alt 'P 1'
_space_group_IT_number 1
_space_group_name_Hall 'P 1'
loop_
_atom_site_label
_atom_site_type_symbol
_atom_site_fract_x
_atom_site_fract_y
_atom_site_fract_z
Ho1 Ho 0.5000 0.0000 0.0000
Ho2 Ho 0.2339 0.8270 0.4679
Ho3 Ho 0.7661 0.1730 0.5321
Ho4 Ho 0.1416 0.1237 0.2832
Ho5 Ho 0.8584 0.8763 0.7168
Tb1 Tb 0.0466 0.3606 0.0932
Tb2 Tb 0.6790 0.4726 0.3581
Tb3 Tb 0.3210 0.5274 0.6419
Tb4 Tb 0.9534 0.6394 0.9068
La1 La 0.9087 0.2542 0.8174
La2 La 0.0913 0.7458 0.1826
```


[3]
Below is a geometry-optimized Tm4SiTc structure, with properties calculated at the GGA-PBE level.

- total DFT energy (no corrections) (eV for the cell shown) = -143.629
- space group = Pnma, No. 62

The structure in CIF format:
```
data_Tm4SiTc
_cell_length_a 4.3044
_cell_length_b 7.6272
_cell_length_c 17.4272
_cell_angle_alpha 90.00
_cell_angle_beta 90.00
_cell_angle_gamma 90.00
_space_group_name_H-M_alt 'P 1'
_space_group_IT_number 1
_space_group_name_Hall 'P 1'
loop_
_atom_site_label
_atom_site_type_symbol
_atom_site_fract_x
_atom_site_fract_y
_atom_site_fract_z
Si1 Si 0.2500 0.2473 0.1946
Si2 Si 0.7500 0.7527 0.8054
Si3 Si 0.7500 0.2527 0.6946
Si4 Si 0.2500 0.7473 0.3054
Tm1 Tm 0.7500 0.3452 0.0544
Tm2 Tm 0.7500 0.3891 0.8519
Tm3 Tm 0.2500 0.5554 0.7185
Tm4 Tm 0.2500 0.6548 0.9456
Tm5 Tm 0.2500 0.1548 0.5544
Tm6 Tm 0.2500 0.0037 0.0691
Tm7 Tm 0.7500 0.4446 0.2815
Tm8 Tm 0.2500 0.5037 0.4309
Tm9 Tm 0.7500 0.9963 0.9309
Tm10 Tm 0.7500 0.8452 0.4456
Tm11 Tm 0.7500 0.8891 0.6481
Tm12 Tm 0.7500 0.4963 0.5691
Tm13 Tm 0.2500 0.6109 0.1481
Tm14 Tm 0.2500 0.0554 0.7815
Tm15 Tm 0.7500 0.9446 0.2185
Tm16 Tm 0.2500 0.1109 0.3519
Tc1 Tc 0.7500 0.7509 0.0649
Tc2 Tc 0.2500 0.2491 0.9351
Tc3 Tc 0.7500 0.2509 0.4351
Tc4 Tc 0.2500 0.7491 0.5649
```


[4]
Below is a geometry-optimized YAuS2N structure, with properties calculated at the GGA-PBE level.

- E above lowest polymorph (eV per atom) = 0.470
- space group = P4/mmm, No. 123

The structure in CIF format:
```
data_YAuS2N
_cell_length_a 5.2792
_cell_length_b 5.2792
_cell_length_c 4.3168
_cell_angle_alpha 90.00
_cell_angle_beta 90.00
_cell_angle_gamma 90.00
_space_group_name_H-M_alt 'P 1'
_space_group_IT_number 1
_space_group_name_Hall 'P 1'
loop_
_atom_site_label
_atom_site_type_symbol
_atom_site_fract_x
_atom_site_fract_y
_atom_site_fract_z
Au1 Au 0.5000 0.5000 0.5000
S1 S 0.0000 0.5000 0.0000
S2 S 0.5000 0.0000 0.0000
N1 N 0.0000 0.0000 0.5000
Y1 Y 0.0000 0.0000 0.0000
```


[5]
Below is a geometry-optimized BaNaCaMg structure, with properties calculated at the GGA-PBE level.

- ΔH_f (0 K) (eV/atom) = -0.01
- space group = P4mm, No. 99

The structure in CIF format:
```
data_BaNaCaMg
_cell_length_a 4.2063
_cell_length_b 4.2063
_cell_length_c 9.1005
_cell_angle_alpha 90.00
_cell_angle_beta 90.00
_cell_angle_gamma 90.00
_space_group_name_H-M_alt 'P 1'
_space_group_IT_number 1
_space_group_name_Hall 'P 1'
loop_
_atom_site_label
_atom_site_type_symbol
_atom_site_fract_x
_atom_site_fract_y
_atom_site_fract_z
Na1 Na 0.0000 0.0000 0.1009
Mg1 Mg 0.0000 0.0000 0.5418
Ca1 Ca 0.5000 0.5000 0.3486
Ba1 Ba 0.5000 0.5000 0.7934
```


[6]
Below is a geometry-optimized Hg3BiBr structure, with properties calculated at the GGA-PBE level.

- E above lowest polymorph (eV per atom) = 0.549
- space group = Pm-3m, No. 221

The structure in CIF format:
```
data_Hg3BiBr
_cell_length_a 5.6504
_cell_length_b 5.6504
_cell_length_c 5.6504
_cell_angle_alpha 90.00
_cell_angle_beta 90.00
_cell_angle_gamma 90.00
_space_group_name_H-M_alt 'P 1'
_space_group_IT_number 1
_space_group_name_Hall 'P 1'
loop_
_atom_site_label
_atom_site_type_symbol
_atom_site_fract_x
_atom_site_fract_y
_atom_site_fract_z
Hg1 Hg 0.5000 0.0000 0.0000
Hg2 Hg 0.0000 0.0000 0.5000
Hg3 Hg 0.0000 0.5000 0.0000
Bi1 Bi 0.5000 0.5000 0.5000
Br1 Br 0.0000 0.0000 0.0000
```


[7]
Below is a geometry-optimized HfMg3Ag structure, with properties calculated at the GGA-PBE level.

- E above lowest polymorph (eV per atom) = 0.778
- ΔH_f (0 K) (eV/atom) = 1.31
- space group = Pm-3m, No. 221

The structure in CIF format:
```
data_HfMg3Ag
_cell_length_a 5.6136
_cell_length_b 5.6136
_cell_length_c 5.6136
_cell_angle_alpha 90.00
_cell_angle_beta 90.00
_cell_angle_gamma 90.00
_space_group_name_H-M_alt 'P 1'
_space_group_IT_number 1
_space_group_name_Hall 'P 1'
loop_
_atom_site_label
_atom_site_type_symbol
_atom_site_fract_x
_atom_site_fract_y
_atom_site_fract_z
Mg1 Mg 0.5000 0.0000 0.0000
Mg2 Mg 0.0000 0.0000 0.5000
Mg3 Mg 0.0000 0.5000 0.0000
Ag1 Ag 0.5000 0.5000 0.5000
Hf1 Hf 0.0000 0.0000 0.0000
```


[8]
Below is a geometry-optimized Li2Ga3Cu5 structure, with properties calculated at the GGA-PBE level.

- ΔH_f (0 K) (eV/atom) = -0.15
- space group = C2/c, No. 15

The structure in CIF format:
```
data_Li2Ga3Cu5
_cell_length_a 5.0789
_cell_length_b 7.4913
_cell_length_c 7.4913
_cell_angle_alpha 107.02
_cell_angle_beta 92.54
_cell_angle_gamma 92.54
_space_group_name_H-M_alt 'P 1'
_space_group_IT_number 1
_space_group_name_Hall 'P 1'
loop_
_atom_site_label
_atom_site_type_symbol
_atom_site_fract_x
_atom_site_fract_y
_atom_site_fract_z
Cu1 Cu 0.3649 0.7294 0.0298
Cu2 Cu 0.2500 0.4650 0.5350
Cu3 Cu 0.4958 0.7895 0.7134
Cu4 Cu 0.7500 0.5350 0.4650
Cu5 Cu 0.5042 0.2105 0.2866
Cu6 Cu 0.8649 0.0298 0.7294
Cu7 Cu 0.0042 0.2866 0.2105
Cu8 Cu 0.1351 0.9702 0.2706
Cu9 Cu 0.6351 0.2706 0.9702
Cu10 Cu 0.9958 0.7134 0.7895
Li1 Li 0.1188 0.3790 0.8698
Li2 Li 0.3812 0.1302 0.6210
Li3 Li 0.6188 0.8698 0.3790
Li4 Li 0.8812 0.6210 0.1302
Ga1 Ga 0.1128 0.7825 0.4863
Ga2 Ga 0.2500 0.0463 0.9537
Ga3 Ga 0.3872 0.5137 0.2175
Ga4 Ga 0.7500 0.9537 0.0463
Ga5 Ga 0.8872 0.2175 0.5137
Ga6 Ga 0.6128 0.4863 0.7825
```


[9]
Below is a geometry-optimized ZrCo2Tc structure, with properties calculated at the GGA-PBE level.

- E above lowest polymorph (eV per atom) = 0.093
- ΔH_f (0 K) (eV/atom) = 0.06
- space group = Imm2, No. 44

The structure in CIF format:
```
data_ZrCo2Tc
_cell_length_a 5.0363
_cell_length_b 5.0363
_cell_length_c 5.0363
_cell_angle_alpha 142.55
_cell_angle_beta 130.27
_cell_angle_gamma 63.88
_space_group_name_H-M_alt 'P 1'
_space_group_IT_number 1
_space_group_name_Hall 'P 1'
loop_
_atom_site_label
_atom_site_type_symbol
_atom_site_fract_x
_atom_site_fract_y
_atom_site_fract_z
Co1 Co 0.9947 0.9947 0.0000
Co2 Co 0.7477 0.2477 0.5000
Tc1 Tc 0.5070 0.5070 0.0000
Zr1 Zr 0.2506 0.7506 0.5000
```


[10]
Below is a geometry-optimized SbBrCl2 structure, with properties calculated at the GGA-PBE level.

- E above lowest polymorph (eV per atom) = 0.427
- space group = R3m, No. 160

The structure in CIF format:
```
data_SbBrCl2
_cell_length_a 7.2343
_cell_length_b 7.2343
_cell_length_c 7.2343
_cell_angle_alpha 37.21
_cell_angle_beta 37.21
_cell_angle_gamma 37.21
_space_group_name_H-M_alt 'P 1'
_space_group_IT_number 1
_space_group_name_Hall 'P 1'
loop_
_atom_site_label
_atom_site_type_symbol
_atom_site_fract_x
_atom_site_fract_y
_atom_site_fract_z
Cl1 Cl 0.2160 0.2160 0.2160
Cl2 Cl 0.9587 0.9587 0.9587
Br1 Br 0.7850 0.7850 0.7850
Sb1 Sb 0.5402 0.5402 0.5402
```


no.,M_tot (μB/f.u.),density of states at the Fermi level (states/eV/atom)
1,0.00,0.279
2,0.00,1.974
3,0.00,0.464
4,0.02,1.749
5,0.00,0.946
6,0.00,0.729
7,1.54,1.224
8,0.00,0.306
9,3.38,1.406
10,0.00,0.000